A plane-wave DFT calculation with PBE was carried out for an optimized crystal structure of LiPa2Co4Ge3.

Summary:
**Crystal system**: tetragonal
**VASP energy**: -67.62 eV/cell
**Density of states at the Fermi level**: 12.96 states/eV/cell
**ΔH_f (0 K)**: -444 meV/atom

Lattice parameters (Å, degrees): 3.8550 3.8550 10.3915 90.00 90.00 90.00
Closest atoms and distances in Å follow each position.
Positions (direct):
Co 0.0000 0.5000 0.3510  3 Ge 2.34-2.47, 2 Li 2.47
Co 0.5000 0.5000 0.0000  4 Ge 2.33
Co 0.5000 0.0000 0.6490  3 Ge 2.34-2.47, 2 Li 2.47
Co 0.0000 0.0000 0.0000  4 Ge 2.33
Li 0.5000 0.5000 0.5000  4 Co 2.47, 4 Ge 2.73
Ge 0.0000 0.0000 0.5000  4 Co 2.47, 4 Li 2.73
Ge 0.5000 0.0000 0.8741  5 Co 2.33-2.34
Ge 0.0000 0.5000 0.1259  5 Co 2.33-2.34
Pa 0.5000 0.0000 0.2580  4 Co 2.89, 6 Ge 3.05-3.17, 2 Li 3.17
Pa 0.0000 0.5000 0.7420  4 Co 2.89, 6 Ge 3.05-3.17, 2 Li 3.17

***

A plane-wave DFT calculation with PBE was carried out for an optimized crystal structure of LiPa2Co3Ge4.

Summary:
**Crystal system**: tetragonal
**VASP energy**: -65.60 eV/cell
**Density of states at the Fermi level**: 7.11 states/eV/cell
**ΔH_f (0 K)**: -491 meV/atom

Lattice parameters (Å, degrees): 4.0936 4.0936 9.5452 90.00 90.00 90.00
Closest atoms and distances in Å follow each position.
Positions (direct):
Ge 0.0000 0.0000 0.0000  4 Co 2.37
Ge 0.5000 0.0000 0.6315  3 Co 2.31-2.40, 2 Li 2.40
Ge 0.5000 0.5000 0.0000  4 Co 2.37
Ge 0.0000 0.5000 0.3685  3 Co 2.31-2.40, 2 Li 2.40
Li 0.5000 0.5000 0.5000  4 Ge 2.40
Co 0.0000 0.5000 0.1262  5 Ge 2.31-2.37
Co 0.0000 0.0000 0.5000  4 Ge 2.40
Co 0.5000 0.0000 0.8738  5 Ge 2.31-2.37
Pa 0.5000 0.0000 0.2501  8 Ge 3.11-3.14, 6 Co 3.13-3.14, 2 Li 3.14
Pa 0.0000 0.5000 0.7499  8 Ge 3.11-3.14, 6 Co 3.13-3.14, 2 Li 3.14

***

A plane-wave DFT calculation with PBE was carried out for an optimized crystal structure of LiPm3Co2Ge6.

Summary:
**Crystal system**: trigonal
**VASP energy**: -60.92 eV/cell
**Density of states at the Fermi level**: 7.23 states/eV/cell
**ΔH_f (0 K)**: -236 meV/atom

Lattice parameters (Å, degrees): 5.9353 5.9353 8.0931 90.00 90.00 120.00
Closest atoms and distances in Å follow each position.
Positions (direct):
Ge 0.1855 0.8145 0.2775  1 Co 2.39, 1 Li 2.62, 2 Ge 2.63
Ge 0.8145 0.6289 0.7225  1 Co 2.39, 1 Li 2.62, 2 Ge 2.63
Ge 0.6289 0.8145 0.2775  1 Co 2.39, 1 Li 2.62, 2 Ge 2.63
Ge 0.1855 0.3711 0.2775  1 Co 2.39, 1 Li 2.62, 2 Ge 2.63
Ge 0.8145 0.1855 0.7225  1 Co 2.39, 1 Li 2.62, 2 Ge 2.63
Ge 0.3711 0.1855 0.7225  1 Co 2.39, 1 Li 2.62, 2 Ge 2.63
Pm 0.3333 0.6667 0.6192  9 Ge 3.09-3.16
Pm 0.6667 0.3333 0.3808  9 Ge 3.09-3.16
Pm 0.0000 0.0000 0.0000  6 Ge 2.95
Li 0.0000 0.0000 0.5000  6 Ge 2.62
Co 0.3333 0.6667 0.0501  3 Ge 2.39
Co 0.6667 0.3333 0.9499  3 Ge 2.39

***

A plane-wave DFT calculation with PBE was carried out for an optimized crystal structure of LiPmCoGe2.

Summary:
**Crystal system**: tetragonal
**VASP energy**: -25.67 eV/cell
**Density of states at the Fermi level**: 3.41 states/eV/cell
**ΔH_f (0 K)**: -534 meV/atom

Lattice parameters (Å, degrees): 4.1315 4.1315 5.8538 110.66 110.66 90.00
Closest atoms and distances in Å follow each position.
Positions (direct):
Li 0.2500 0.7500 0.5000  4 Ge 2.41
Pm 0.0000 0.0000 0.0000  8 Ge 3.20, 4 Co 3.27, 4 Li 3.27
Ge 0.3725 0.3725 0.7449  2 Li 2.41, 2 Co 2.41, 1 Ge 2.59
Ge 0.6275 0.6275 0.2551  2 Co 2.41, 2 Li 2.41, 1 Ge 2.59
Co 0.7500 0.2500 0.5000  4 Ge 2.41

***

A plane-wave DFT calculation with PBE was carried out for an optimized crystal structure of LiPuCoGe.

Summary:
**Crystal system**: cubic
**VASP energy**: -28.76 eV/cell
**Density of states at the Fermi level**: 8.88 states/eV/cell
**ΔH_f (0 K)**: -199 meV/atom

Lattice parameters (Å, degrees): 4.4664 4.4664 4.4664 60.00 60.00 60.00
Closest atoms and distances in Å follow each position.
Positions (direct):
Pu 0.7500 0.7500 0.7500  4 Li 2.74, 4 Co 2.74
Ge 0.2500 0.2500 0.2500  4 Co 2.74, 4 Li 2.74
Co 0.5000 0.5000 0.5000  4 Ge 2.74, 4 Pu 2.74
Li 0.0000 0.0000 0.0000  4 Ge 2.74, 4 Pu 2.74

***

A plane-wave DFT calculation with PBE was carried out for an optimized crystal structure of LiCoGeRu2.

Summary:
**Crystal system**: tetragonal
**VASP energy**: -27.52 eV/cell
**Density of states at the Fermi level**: 6.62 states/eV/cell
**ΔH_f (0 K)**: 934 meV/atom

Lattice parameters (Å, degrees): 4.4656 4.3871 4.4656 90.00 90.00 90.00
Closest atoms and distances in Å follow each position.
Positions (direct):
Ge 0.0000 0.5000 0.0000  2 Co 2.19
Ru 0.0000 0.0000 0.5000  2 Co 2.23
Ru 0.5000 0.0000 0.0000  2 Co 2.23
Co 0.0000 0.0000 0.0000  2 Ge 2.19, 4 Ru 2.23
Li 0.5000 0.5000 0.5000  8 Ru 3.13, 4 Ge 3.16

***

A plane-wave DFT calculation with PBE was carried out for an optimized crystal structure of LiCoSiGe.

Summary:
**Crystal system**: cubic
**VASP energy**: -19.83 eV/cell
**Raw formation energy**: -192.1 meV per atom
**Density of states at the Fermi level**: 1.31 states/eV/cell

Lattice parameters (Å, degrees): 4.0971 4.0971 4.0971 60.00 60.00 60.00
Closest atoms and distances in Å follow each position.
Positions (direct):
Co 0.0000 0.0000 0.0000  4 Si 2.51, 4 Ge 2.51
Si 0.7500 0.7500 0.7500  4 Li 2.51, 4 Co 2.51
Li 0.5000 0.5000 0.5000  4 Si 2.51, 4 Ge 2.51
Ge 0.2500 0.2500 0.2500  4 Co 2.51, 4 Li 2.51

***

A plane-wave DFT calculation with PBE was carried out for an optimized crystal structure of LiSmCoGe2.

Summary:
**Crystal system**: tetragonal
**VASP energy**: -25.64 eV/cell
**Density of states at the Fermi level**: 3.42 states/eV/cell
**ΔH_f (0 K)**: -533 meV/atom

Lattice parameters (Å, degrees): 4.1114 4.1114 5.8556 110.55 110.55 90.00
Closest atoms and distances in Å follow each position.
Positions (direct):
Ge 0.6269 0.6269 0.2537  2 Co 2.41, 2 Li 2.41, 1 Ge 2.58
Ge 0.3731 0.3731 0.7463  2 Co 2.41, 2 Li 2.41, 1 Ge 2.58
Sm 0.0000 0.0000 0.0000  8 Ge 3.18, 4 Co 3.27, 4 Li 3.27
Co 0.7500 0.2500 0.5000  4 Ge 2.41
Li 0.2500 0.7500 0.5000  4 Ge 2.41